(1)
# Ce2MgNpN4 GGA-PBE relaxed
# Formation energy from raw total energies, eV per formula unit: -9.3
data_Ce2MgNpN4
_symmetry_space_group_name_H-M 'P 1 2/m 1'
_symmetry_Int_Tables_number 10
_cell_length_a 5.8115
_cell_length_b 3.4942
_cell_length_c 5.9972
_cell_angle_alpha 90.00
_cell_angle_beta 108.38
_cell_angle_gamma 90.00
loop_
_symmetry_equiv_pos_as_xyz
'x,y,z'
'-x,-y,-z'
'-x,y,-z'
'x,-y,z'
loop_
_atom_site_label
_atom_site_fract_x
_atom_site_fract_y
_atom_site_fract_z
Ce1 0.0000 0.0000 0.0000
Ce2 0.5000 0.5000 0.0000
Mg1 0.0000 0.5000 0.5000
Np1 0.5000 0.0000 0.5000
N1 0.2587 0.5000 0.2733
N2 0.2610 0.0000 0.7307

***

(2)
# Ce3Mg2NpN6 GGA-PBE relaxed
# Formation energy from raw total energies, eV per formula unit: -13.6
data_Ce3Mg2NpN6
_symmetry_space_group_name_H-M 'C 1 2/m 1'
_symmetry_Int_Tables_number 12
_cell_length_a 5.9311
_cell_length_b 10.3337
_cell_length_c 5.9568
_cell_angle_alpha 90.00
_cell_angle_beta 108.88
_cell_angle_gamma 90.00
loop_
_symmetry_equiv_pos_as_xyz
'x,y,z'
'-x,-y,-z'
'-x,y,-z'
'x,-y,z'
'x+1/2,y+1/2,z'
'-x+1/2,-y+1/2,-z'
'-x+1/2,y+1/2,-z'
'x+1/2,-y+1/2,z'
loop_
_atom_site_label
_atom_site_fract_x
_atom_site_fract_y
_atom_site_fract_z
Ce1 0.0000 0.0000 0.0000
Ce2 0.0000 0.3281 0.0000
Mg1 0.0000 0.1672 0.5000
Np1 0.0000 0.5000 0.5000
N1 0.2353 0.5000 0.2575
N2 0.2392 0.3408 0.7338

***

(3)
# Ce2MgNpN5 GGA-PBE relaxed
# Formation energy from raw total energies, eV per formula unit: -10.2
data_Ce2MgNpN5
_symmetry_space_group_name_H-M 'C m c 21'
_symmetry_Int_Tables_number 36
_cell_length_a 3.5086
_cell_length_b 13.5172
_cell_length_c 10.5000
_cell_angle_alpha 90.00
_cell_angle_beta 90.00
_cell_angle_gamma 90.00
loop_
_symmetry_equiv_pos_as_xyz
'x,y,z'
'-x,-y,z+1/2'
'-x,y,z'
'x,-y,z+1/2'
'x+1/2,y+1/2,z'
'-x+1/2,-y+1/2,z+1/2'
'-x+1/2,y+1/2,z'
'x+1/2,-y+1/2,z+1/2'
loop_
_atom_site_label
_atom_site_fract_x
_atom_site_fract_y
_atom_site_fract_z
Ce1 0.0000 0.1076 0.0000
Ce2 0.0000 0.1338 0.5923
Mg1 0.0000 0.4780 0.7712
Np1 0.0000 0.2131 0.3119
N1 0.0000 0.0680 0.3509
N2 0.0000 0.2749 0.9519
N3 0.0000 0.2997 0.6773
N4 0.0000 0.3626 0.3070
N5 0.0000 0.4939 0.0745

***

(4)
# Ce2MgPN5 GGA-PBE relaxed
# Formation energy from raw total energies, eV per formula unit: -8.3
data_Ce2MgPN5
_symmetry_space_group_name_H-M 'C m c 21'
_symmetry_Int_Tables_number 36
_cell_length_a 3.1830
_cell_length_b 14.0065
_cell_length_c 10.0228
_cell_angle_alpha 90.00
_cell_angle_beta 90.00
_cell_angle_gamma 90.00
loop_
_symmetry_equiv_pos_as_xyz
'x,y,z'
'-x,-y,z+1/2'
'-x,y,z'
'x,-y,z+1/2'
'x+1/2,y+1/2,z'
'-x+1/2,-y+1/2,z+1/2'
'-x+1/2,y+1/2,z'
'x+1/2,-y+1/2,z+1/2'
loop_
_atom_site_label
_atom_site_fract_x
_atom_site_fract_y
_atom_site_fract_z
Ce1 0.0000 0.1222 0.0000
Ce2 0.0000 0.1397 0.6462
Mg1 0.0000 0.2003 0.3523
P1 0.0000 0.4460 0.7528
N1 0.0000 0.0335 0.3394
N2 0.0000 0.2916 0.0134
N3 0.0000 0.3335 0.7109
N4 0.0000 0.3501 0.3407
N5 0.0000 0.4926 0.1152

***

(5)
# CeMg2PN4 GGA-PBE relaxed
# Formation energy from raw total energies, eV per formula unit: -6.4
data_CeMg2PN4
_symmetry_space_group_name_H-M 'C m c m'
_symmetry_Int_Tables_number 63
_symmetry_space_group_name_Hall '-C 2c 2'
_cell_length_a 3.2388
_cell_length_b 10.7840
_cell_length_c 10.5539
_cell_angle_alpha 90.00
_cell_angle_beta 90.00
_cell_angle_gamma 90.00
loop_
_atom_site_label
_atom_site_fract_x
_atom_site_fract_y
_atom_site_fract_z
Ce1 0.0000 0.0805 0.2500
Mg1 0.0000 0.3734 0.0358
P1 0.0000 0.1836 0.7500
N1 0.0000 0.0000 0.0000
N2 0.0000 0.2720 0.6279
N3 0.0000 0.3996 0.2500

***

(6)
# Ce4MgPa3N8 GGA-PBE relaxed
# Formation energy from raw total energies, eV per formula unit: -23.5
data_Ce4MgPa3N8
_symmetry_space_group_name_H-M 'R -3 m'
_symmetry_Int_Tables_number 166
_symmetry_space_group_name_Hall '-R 3 2"'
_cell_length_a 6.9795
_cell_length_b 6.9795
_cell_length_c 17.3444
_cell_angle_alpha 90.00
_cell_angle_beta 90.00
_cell_angle_gamma 120.00
loop_
_atom_site_label
_atom_site_fract_x
_atom_site_fract_y
_atom_site_fract_z
Ce1 0.0000 0.0000 0.0000
Ce2 0.0000 0.5000 0.0000
Mg1 0.0000 0.0000 0.5000
Pa1 0.0000 0.5000 0.5000
N1 0.0000 0.0000 0.2423
N2 0.0037 0.5018 0.7583

***

(7)
# Ce2MgPaN4 GGA-PBE relaxed
# Formation energy from raw total energies, eV per formula unit: -10.6
data_Ce2MgPaN4
_symmetry_space_group_name_H-M 'P 1 2/m 1'
_symmetry_Int_Tables_number 10
_cell_length_a 5.8232
_cell_length_b 3.5168
_cell_length_c 6.0987
_cell_angle_alpha 90.00
_cell_angle_beta 108.41
_cell_angle_gamma 90.00
loop_
_symmetry_equiv_pos_as_xyz
'x,y,z'
'-x,-y,-z'
'-x,y,-z'
'x,-y,z'
loop_
_atom_site_label
_atom_site_fract_x
_atom_site_fract_y
_atom_site_fract_z
Ce1 0.0000 0.0000 0.0000
Ce2 0.5000 0.5000 0.0000
Mg1 0.0000 0.5000 0.5000
Pa1 0.5000 0.0000 0.5000
N1 0.2575 0.0000 0.7348
N2 0.2600 0.5000 0.2763

***

(8)
# CeMg3Pa2N6 GGA-PBE relaxed
# Formation energy from raw total energies, eV per formula unit: -14.0
data_CeMg3Pa2N6
_symmetry_space_group_name_H-M 'C 1 2/m 1'
_symmetry_Int_Tables_number 12
_cell_length_a 14.4619
_cell_length_b 3.4861
_cell_length_c 6.6795
_cell_angle_alpha 90.00
_cell_angle_beta 99.72
_cell_angle_gamma 90.00
loop_
_symmetry_equiv_pos_as_xyz
'x,y,z'
'-x,-y,-z'
'-x,y,-z'
'x,-y,z'
'x+1/2,y+1/2,z'
'-x+1/2,-y+1/2,-z'
'-x+1/2,y+1/2,-z'
'x+1/2,-y+1/2,z'
loop_
_atom_site_label
_atom_site_fract_x
_atom_site_fract_y
_atom_site_fract_z
Ce1 0.0000 0.0000 0.0000
Mg1 0.0000 0.0000 0.5000
Mg2 0.1674 0.5000 0.8345
Pa1 0.1632 0.5000 0.3284
N1 0.0016 0.5000 0.2640
N2 0.1729 0.0000 0.0974
N3 0.1726 0.0000 0.5724

***

(9)
# Ce3PuMg2N6 GGA-PBE relaxed
# Formation energy from raw total energies, eV per formula unit: -13.7
data_Ce3PuMg2N6
_symmetry_space_group_name_H-M 'C 1 2/m 1'
_symmetry_Int_Tables_number 12
_cell_length_a 6.0110
_cell_length_b 10.4406
_cell_length_c 5.9162
_cell_angle_alpha 90.00
_cell_angle_beta 109.54
_cell_angle_gamma 90.00
loop_
_symmetry_equiv_pos_as_xyz
'x,y,z'
'-x,-y,-z'
'-x,y,-z'
'x,-y,z'
'x+1/2,y+1/2,z'
'-x+1/2,-y+1/2,-z'
'-x+1/2,y+1/2,-z'
'x+1/2,-y+1/2,z'
loop_
_atom_site_label
_atom_site_fract_x
_atom_site_fract_y
_atom_site_fract_z
Ce1 0.0000 0.0000 0.0000
Ce2 0.0000 0.3299 0.0000
Pu1 0.0000 0.5000 0.5000
Mg1 0.0000 0.1660 0.5000
N1 0.2421 0.5000 0.2513
N2 0.2458 0.3371 0.7461

***

(10)
# Ce2MgReN5 GGA-PBE relaxed
# Formation energy from raw total energies, eV per formula unit: -8.0
data_Ce2MgReN5
_symmetry_space_group_name_H-M 'C m c 21'
_symmetry_Int_Tables_number 36
_cell_length_a 3.4114
_cell_length_b 13.4487
_cell_length_c 9.9578
_cell_angle_alpha 90.00
_cell_angle_beta 90.00
_cell_angle_gamma 90.00
loop_
_symmetry_equiv_pos_as_xyz
'x,y,z'
'-x,-y,z+1/2'
'-x,y,z'
'x,-y,z+1/2'
'x+1/2,y+1/2,z'
'-x+1/2,-y+1/2,z+1/2'
'-x+1/2,y+1/2,z'
'x+1/2,-y+1/2,z+1/2'
loop_
_atom_site_label
_atom_site_fract_x
_atom_site_fract_y
_atom_site_fract_z
Ce1 0.0000 0.1171 0.0000
Ce2 0.0000 0.1511 0.6080
Mg1 0.0000 0.2144 0.3167
Re1 0.0000 0.4726 0.7704
N1 0.0000 0.0488 0.3528
N2 0.0000 0.2837 0.9780
N3 0.0000 0.3230 0.6777
N4 0.0000 0.3749 0.3182
N5 0.0000 0.4875 0.0906

***

(11)
# Ce2Mg4Sb3N2 GGA-PBE relaxed
# Formation energy from raw total energies, eV per formula unit: -8.8
data_Ce2Mg4Sb3N2
_symmetry_space_group_name_H-M 'I 4/m m m'
_symmetry_Int_Tables_number 139
_symmetry_space_group_name_Hall '-I 4 2'
_cell_length_a 4.4662
_cell_length_b 4.4662
_cell_length_c 24.3711
_cell_angle_alpha 90.00
_cell_angle_beta 90.00
_cell_angle_gamma 90.00
loop_
_atom_site_label
_atom_site_fract_x
_atom_site_fract_y
_atom_site_fract_z
Ce1 0.0000 0.0000 0.1817
Mg1 0.0000 0.5000 0.0768
Sb1 0.0000 0.0000 0.3220
Sb2 0.0000 0.0000 0.5000
N1 0.0000 0.0000 0.0962

***

(12)
# CeMg2SiN4 GGA-PBE relaxed
# Formation energy from raw total energies, eV per formula unit: -8.7
data_CeMg2SiN4
_symmetry_space_group_name_H-M 'P m n 21'
_symmetry_Int_Tables_number 31
_cell_length_a 6.9088
_cell_length_b 5.8335
_cell_length_c 5.2647
_cell_angle_alpha 90.00
_cell_angle_beta 90.00
_cell_angle_gamma 90.00
loop_
_symmetry_equiv_pos_as_xyz
'x,y,z'
'-x+1/2,-y,z+1/2'
'-x,y,z'
'x+1/2,-y,z+1/2'
loop_
_atom_site_label
_atom_site_fract_x
_atom_site_fract_y
_atom_site_fract_z
Ce1 0.0000 0.1433 0.0000
Mg1 0.2459 0.3412 0.5186
Si1 0.0000 0.8161 0.5294
N1 0.0000 0.1186 0.4642
N2 0.0000 0.7891 0.8632
N3 0.2130 0.6855 0.4165